1.
La2TeBr: optimized geometry, PBE-GGA.

```
data_La2TeBr
_chemical_formula_sum 'La4 Te2 Br2'
_cell_length_a 12.5161
_cell_length_b 4.0369
_cell_length_c 4.8705
_cell_angle_alpha 90.00
_cell_angle_beta 90.28
_cell_angle_gamma 90.00
_symmetry_space_group_name_H-M 'C 1 m 1'
_symmetry_Int_Tables_number 8
loop_
_symmetry_equiv_pos_as_xyz
'x,y,z'
'x,-y,z'
'x+1/2,y+1/2,z'
'x+1/2,-y+1/2,z'
loop_
_atom_site_label
_atom_site_fract_x
_atom_site_fract_y
_atom_site_fract_z
La1 0.0000 0.0000 0.0000
La2 0.2216 0.5000 0.4974
Te1 0.4554 0.0000 0.4995
Br1 0.2378 0.0000 0.9971
```

Values from the calculation:
Energy relative to the elements, uncorrected (eV/f.u.): -5.4
Excess energy over the best structure of this formula in the dataset (meV per atom): 83.5
E_tot (eV per atom): -5.006



2.
TbTl5Br8: optimized geometry, PBE-GGA.

```
data_TbTl5Br8
_chemical_formula_sum 'Tb1 Tl5 Br8'
_cell_length_a 8.5378
_cell_length_b 8.5451
_cell_length_c 8.5477
_cell_angle_alpha 108.40
_cell_angle_beta 110.01
_cell_angle_gamma 109.96
_symmetry_space_group_name_H-M 'P 1'
_symmetry_Int_Tables_number 1
loop_
_symmetry_equiv_pos_as_xyz
'x,y,z'
loop_
_atom_site_label
_atom_site_fract_x
_atom_site_fract_y
_atom_site_fract_z
Tb1 0.0000 0.0000 0.0000
Tl1 0.1117 0.8531 0.4872
Tl2 0.3667 0.5128 0.6247
Tl3 0.4998 0.7517 0.2510
Tl4 0.6338 0.2593 0.1463
Tl5 0.8878 0.3752 0.7412
Br1 0.1055 0.4328 0.2005
Br2 0.2080 0.2085 0.8598
Br3 0.2318 0.7988 0.9041
Br4 0.3486 0.1389 0.3478
Br5 0.6515 0.9996 0.7910
Br6 0.7671 0.6718 0.5662
Br7 0.7914 0.6520 0.0004
Br8 0.8944 0.0955 0.3275
```

Values from the calculation:
Energy relative to the elements, uncorrected (eV/f.u.): -15.8
E_tot (eV per atom): -3.258



3.
CaTa3: optimized geometry, PBE-GGA.

```
data_CaTa3
_chemical_formula_sum 'Ca1 Ta3'
_cell_length_a 4.7868
_cell_length_b 4.7868
_cell_length_c 3.5440
_cell_angle_alpha 90.00
_cell_angle_beta 90.00
_cell_angle_gamma 90.00
_symmetry_space_group_name_H-M 'P 4/m m m'
_symmetry_Int_Tables_number 123
_symmetry_space_group_name_Hall '-P 4 2'
loop_
_atom_site_label
_atom_site_fract_x
_atom_site_fract_y
_atom_site_fract_z
Ca1 0.0000 0.0000 0.0000
Ta1 0.0000 0.5000 0.5000
Ta2 0.5000 0.5000 0.0000
```

Values from the calculation:
Energy relative to the elements (meV per atom): 782
E_tot (eV per atom): -8.608



4.
CsY2CuSe4: optimized geometry, PBE-GGA.

```
data_CsY2CuSe4
_chemical_formula_sum 'Cs4 Y8 Cu4 Se16'
_cell_length_a 4.1746
_cell_length_b 14.6791
_cell_length_c 14.5322
_cell_angle_alpha 90.00
_cell_angle_beta 90.00
_cell_angle_gamma 90.00
_symmetry_space_group_name_H-M 'C m c m'
_symmetry_Int_Tables_number 63
_symmetry_space_group_name_Hall '-C 2c 2'
loop_
_atom_site_label
_atom_site_fract_x
_atom_site_fract_y
_atom_site_fract_z
Cs1 0.0000 0.1087 0.2500
Y1 0.0000 0.3664 0.0626
Cu1 0.0000 0.1658 0.7500
Se1 0.0000 0.0000 0.0000
Se2 0.0000 0.2576 0.6063
Se3 0.0000 0.4227 0.2500
```

Values from the calculation:
Energy relative to the elements, uncorrected (eV/f.u.): -12.0
E_tot (eV per atom): -5.476